# 1
This record from the Alexandria database describes a relaxed ZrWC2 crystal. The functional is PBE.

Results
Polymorph energy (0 for the lowest one): 8.34 kcal/mol of atoms
Volume: 95.6 Å³/cell
Symmetry: No. 44
M_tot: 0.000 μB per atom
Calculated formation energy: -0.002 eV/atom

Cell lengths 2.9251, 2.9932, 10.9158 Å; angles 90.00, 90.00, 90.00 degrees
Fractional positions:
Zr  0.0000  0.0000  0.0000
Zr  0.5000  0.5000  0.5000
W  0.0000  0.5000  0.2472
W  0.5000  0.0000  0.7472
C  0.0000  0.0000  0.6056
C  0.0000  0.5000  0.8288
C  0.5000  0.0000  0.3288
C  0.5000  0.5000  0.1056

***

# 2
This record from the Alexandria database describes a relaxed Zr2WC2 crystal. The functional is PBE.

Results
Polymorph energy (0 for the lowest one): 0.00 kcal/mol of atoms
Volume: 143.7 Å³/cell
Symmetry: No. 139
M_tot: 0.000 μB per atom
Calculated formation energy: 0.801 eV/atom

Cell lengths 2.9334, 2.9334, 16.6953 Å; angles 90.00, 90.00, 90.00 degrees
Fractional positions:
Zr  0.0000  0.0000  0.1397
Zr  0.0000  0.0000  0.8603
Zr  0.5000  0.5000  0.3603
Zr  0.5000  0.5000  0.6397
W  0.0000  0.0000  0.5000
W  0.5000  0.5000  0.0000
C  0.0000  0.5000  0.2500
C  0.0000  0.5000  0.7500
C  0.5000  0.0000  0.2500
C  0.5000  0.0000  0.7500

***

# 3
This record from the Alexandria database describes a relaxed ZrWC2 crystal. The functional is PBE.

Results
Polymorph energy (0 for the lowest one): 2.67 kcal/mol of atoms
Volume: 46.6 Å³/cell
Symmetry: No. 123
M_tot: 0.000 μB per atom
Calculated formation energy: -0.248 eV/atom

Cell lengths 3.2149, 3.2149, 4.5061 Å; angles 90.00, 90.00, 90.00 degrees
Fractional positions:
Zr  0.0000  0.0000  0.0000
W  0.5000  0.5000  0.5000
C  0.0000  0.0000  0.5000
C  0.5000  0.5000  0.0000

***

# 4
This record from the Alexandria database describes a relaxed ZrW2C crystal. The functional is PBE.

Results
Volume: 59.2 Å³/cell
Symmetry: No. 123
M_tot: 0.000 μB per atom
Calculated formation energy: 0.525 eV/atom

Cell lengths 2.7887, 2.7887, 7.6107 Å; angles 90.00, 90.00, 90.00 degrees
Fractional positions:
Zr  0.0000  0.0000  0.0000
W  0.5000  0.5000  0.3304
W  0.5000  0.5000  0.6696
C  0.0000  0.0000  0.5000

***

# 5
This record from the Alexandria database describes a relaxed ZrWC2 crystal. The functional is PBE.

Results
Polymorph energy (0 for the lowest one): 18.39 kcal/mol of atoms
Volume: 108.5 Å³/cell
Symmetry: No. 12
M_tot: 0.000 μB per atom
Calculated formation energy: 0.434 eV/atom

Cell lengths 6.1413, 6.1783, 3.2740 Å; angles 90.00, 119.18, 90.00 degrees
Fractional positions:
Zr  0.0000  0.0000  0.0000
Zr  0.5000  0.5000  0.0000
W  0.0000  0.5000  0.0000
W  0.5000  0.0000  0.0000
C  0.2500  0.2500  0.0000
C  0.2500  0.7500  0.0000
C  0.7500  0.2500  0.0000
C  0.7500  0.7500  0.0000

***

# 6
This record from the Alexandria database describes a relaxed Zr4WC5 crystal. The functional is PBE.

Results
Volume: 125.6 Å³/cell
Symmetry: No. 166
M_tot: 0.000 μB per atom
Calculated formation energy: -0.611 eV/atom

Cell lengths 13.5460, 13.5460, 13.5460 Å; angles 13.94, 13.94, 13.94 degrees
Fractional positions:
Zr  0.1020  0.1020  0.1020
Zr  0.2993  0.2993  0.2993
Zr  0.7007  0.7007  0.7007
Zr  0.8980  0.8980  0.8980
W  0.5000  0.5000  0.5000
C  0.0000  0.0000  0.0000
C  0.1958  0.1958  0.1958
C  0.4020  0.4020  0.4020
C  0.5980  0.5980  0.5980
C  0.8042  0.8042  0.8042

***

# 7
This record from the Alexandria database describes a relaxed Zr2WC2 crystal. The functional is PBE.

Results
Polymorph energy (0 for the lowest one): 4.38 kcal/mol of atoms
Volume: 141.8 Å³/cell
Symmetry: No. 127
M_tot: 0.000 μB per atom
Calculated formation energy: 0.992 eV/atom

Cell lengths 6.9454, 6.9454, 2.9393 Å; angles 90.00, 90.00, 90.00 degrees
Fractional positions:
Zr  0.1439  0.3561  0.0000
Zr  0.3561  0.8561  0.0000
Zr  0.6439  0.1439  0.0000
Zr  0.8561  0.6439  0.0000
W  0.0000  0.0000  0.0000
W  0.5000  0.5000  0.0000
C  0.1670  0.6670  0.5000
C  0.3330  0.1670  0.5000
C  0.6670  0.8330  0.5000
C  0.8330  0.3330  0.5000

***

# 8
This record from the Alexandria database describes a relaxed ZrWC3 crystal. The functional is PBE.

Results
Polymorph energy (0 for the lowest one): 36.66 kcal/mol of atoms
Volume: 69.9 Å³/cell
Symmetry: No. 221
M_tot: 0.000 μB per atom
Calculated formation energy: 2.674 eV/atom

Cell lengths 4.1189, 4.1189, 4.1189 Å; angles 90.00, 90.00, 90.00 degrees
Fractional positions:
Zr  0.0000  0.0000  0.0000
W  0.5000  0.5000  0.5000
C  0.0000  0.0000  0.5000
C  0.0000  0.5000  0.0000
C  0.5000  0.0000  0.0000

***

# 9
This record from the Alexandria database describes a relaxed ZrW2C crystal. The functional is PBE.

Results
Volume: 118.3 Å³/cell
Symmetry: No. 35
M_tot: 0.000 μB per atom
Calculated formation energy: 0.274 eV/atom

Cell lengths 3.2375, 4.7341, 7.7196 Å; angles 90.00, 90.00, 90.00 degrees
Fractional positions:
Zr  0.0000  0.0000  0.0000
Zr  0.5000  0.5000  0.0000
W  0.0000  0.0000  0.3957
W  0.0000  0.5000  0.6850
W  0.5000  0.0000  0.6850
W  0.5000  0.5000  0.3957
C  0.0000  0.5000  0.2127
C  0.5000  0.0000  0.2127

***

# 10
This record from the Alexandria database describes a relaxed ZrWC2 crystal. The functional is PBE.

Results
Polymorph energy (0 for the lowest one): 9.78 kcal/mol of atoms
Volume: 49.7 Å³/cell
Symmetry: No. 47
M_tot: 0.000 μB per atom
Calculated formation energy: 0.061 eV/atom

Cell lengths 3.0812, 3.4531, 4.6744 Å; angles 90.00, 90.00, 90.00 degrees
Fractional positions:
Zr  0.0000  0.0000  0.0000
W  0.0000  0.5000  0.5000
C  0.5000  0.5000  0.1596
C  0.5000  0.5000  0.8404

***

# 11
This record from the Alexandria database describes a relaxed ZrW2C crystal. The functional is PBE.

Results
Volume: 120.0 Å³/cell
Symmetry: No. 65
M_tot: 0.000 μB per atom
Calculated formation energy: 0.401 eV/atom

Cell lengths 3.1097, 4.8668, 7.9273 Å; angles 90.00, 90.00, 90.00 degrees
Fractional positions:
Zr  0.0000  0.0000  0.0000
Zr  0.5000  0.5000  0.0000
W  0.0000  0.5000  0.3166
W  0.0000  0.5000  0.6834
W  0.5000  0.0000  0.3166
W  0.5000  0.0000  0.6834
C  0.0000  0.0000  0.5000
C  0.5000  0.5000  0.5000

***

# 12
This record from the Alexandria database describes a relaxed Zr3WC crystal. The functional is PBE.

Results
Polymorph energy (0 for the lowest one): 0.00 kcal/mol of atoms
Volume: 92.5 Å³/cell
Symmetry: No. 221
M_tot: 0.000 μB per atom
Calculated formation energy: -0.046 eV/atom

Cell lengths 4.5224, 4.5224, 4.5224 Å; angles 90.00, 90.00, 90.00 degrees
Fractional positions:
Zr  0.0000  0.0000  0.5000
Zr  0.0000  0.5000  0.0000
Zr  0.5000  0.0000  0.0000
W  0.5000  0.5000  0.5000
C  0.0000  0.0000  0.0000